[1]
! PBEsol BeIn2CoOs, relaxed; values from VASP
! Formation energy (eV/atom): 1.06
&SYSTEM
  ibrav = 0, nat = 5, ntyp = 4
/
ATOMIC_SPECIES
Be 9.01 Be.upf
In 114.82 In.upf
Co 58.93 Co.upf
Os 190.23 Os.upf
ATOMIC_POSITIONS crystal
Be 0.0000 0.0000 0.0000
In 0.0000 0.5000 0.5000
In 0.5000 0.0000 0.5000
Co 0.0000 0.0000 0.5000
Os 0.5000 0.5000 0.0000
CELL_PARAMETERS angstrom
4.6947 0.0000 0.0000
0.0000 4.6947 0.0000
0.0000 0.0000 3.7769

=====

[2]
! PBEsol Tc2GeSbN, relaxed; values from VASP
! Energy relative to the elements, uncorrected (eV/f.u.): 9.722
&SYSTEM
  ibrav = 0, nat = 5, ntyp = 4
/
ATOMIC_SPECIES
Tc 98.00 Tc.upf
Ge 72.64 Ge.upf
Sb 121.76 Sb.upf
N 14.01 N.upf
ATOMIC_POSITIONS crystal
Tc 0.0000 0.5000 0.0000
Tc 0.5000 0.0000 0.0000
Ge 0.0000 0.0000 0.5000
Sb 0.5000 0.5000 0.0000
N 0.5000 0.5000 0.5000
CELL_PARAMETERS angstrom
4.9599 0.0000 0.0000
0.0000 4.9599 0.0000
0.0000 0.0000 3.9496

=====

no.,V (Å³/cell)
1,83
2,97